Arrangement i

Computed, not measured: an optimized crystal structure of NiAg3Br6 at the PBE level of DFT.

As for the density of states at the Fermi level: 0.401 states/eV/atom. Its crystal system is trigonal.

It has space group R-3 (No. 148, hexagonal axes), with a = 11.5898 Å, b = 11.5898 Å, c = 14.4306 Å, α = 90.00°, β = 90.00° and γ = 120.00°. Symmetry generates all atoms from Ni at (0.0000, 0.0000, 0.0000), Ni at (0.0000, 0.0000, 0.5000), Ag at (0.0366, 0.2374, 0.2143), Br at (0.0436, 0.1934, 0.8971) and Br at (0.0753, 0.1982, 0.4018).


Arrangement ii

Computed, not measured: an optimized crystal structure of NiAg3Br6 at the PBE level of DFT.

As for the density of states at the Fermi level: 0.302 states/eV/atom. Its crystal system is monoclinic.

It has space group P2_1/c (No. 14), with a = 7.168 Å, b = 6.875 Å, c = 12.549 Å, α = 90.00°, β = 124.73° and γ = 90.00°. Symmetry generates all atoms from Ni at (0.000, 0.000, 0.000), Ag at (0.289, 0.018, 0.767), Ag at (0.500, 0.000, 0.500), Br at (0.071, 0.203, 0.423), Br at (0.265, 0.676, 0.452) and Br at (0.325, 0.089, 0.224).


Name the least stable of them. arrangement ii.


Arrangement i

Computed, not measured: an optimized crystal structure of NiAgSeBr2 at the PBE level of DFT.

As for the density of states at the Fermi level: 0.627 states/eV/atom. Its crystal system is tetragonal.

It has space group P4/mmm (No. 123), with a = 5.108 Å, b = 5.108 Å, c = 4.608 Å, α = 90.00°, β = 90.00° and γ = 90.00°. Symmetry generates all atoms from Ni at (0.000, 0.000, 0.000), Ag at (0.500, 0.500, 0.500), Se at (0.000, 0.000, 0.500) and Br at (0.000, 0.500, 0.000).


Arrangement ii

Computed, not measured: an optimized crystal structure of NiAgSeBr2 at the PBE level of DFT.

As for the density of states at the Fermi level: 1.080 states/eV/atom. Its crystal system is tetragonal.

It has space group P4/mmm (No. 123), with a = 5.182 Å, b = 5.182 Å, c = 5.273 Å, α = 90.00°, β = 90.00° and γ = 90.00°. Symmetry generates all atoms from Ni at (0.000, 0.000, 0.000), Ag at (0.500, 0.500, 0.500), Se at (0.500, 0.500, 0.000) and Br at (0.000, 0.500, 0.500).


Name the least stable of them. arrangement ii.